## CoNi8Pt6 (PBE-GGA)

Data for a relaxed CoNi8Pt6 crystal.

Cell and atoms, written as POSCAR:
```
CoNi8Pt6
1.0
3.449 1.991 5.110
-3.449 1.991 5.110
0.000 -3.982 5.110
Co Ni Pt
1 8 6
direct
0.000 0.000 0.000
0.118 0.829 0.437
0.171 0.563 0.882
0.245 0.245 0.245
0.437 0.118 0.829
0.563 0.882 0.171
0.755 0.755 0.755
0.829 0.437 0.118
0.882 0.171 0.563
0.108 0.367 0.661
0.339 0.892 0.633
0.367 0.661 0.108
0.633 0.339 0.892
0.661 0.108 0.367
0.892 0.633 0.339
```

Values from the calculation:
The calculated formation energy is 2.7 eV/f.u. The total energy is -5.795 eV/atom.


## Tb3PmPrHo (PBE-GGA)

Data for a relaxed Tb3PmPrHo crystal.

Cell and atoms, written as POSCAR:
```
Tb3PmPrHo
1.0
2.977 -5.573 0.000
2.977 5.573 0.000
0.000 0.000 11.924
Tb Pm Pr Ho
6 2 2 2
direct
0.172 0.828 0.502
0.172 0.828 0.998
0.327 0.673 0.250
0.673 0.327 0.750
0.828 0.172 0.002
0.828 0.172 0.498
0.002 0.998 0.250
0.998 0.002 0.750
0.500 0.500 0.000
0.500 0.500 0.500
0.329 0.671 0.750
0.671 0.329 0.250
```

Values from the calculation:
The calculated formation energy is 0.7 eV/f.u. The total energy is -4.552 eV/atom.


## SbRuPb2 (PBE-GGA)

Data for a relaxed SbRuPb2 crystal.

Cell and atoms, written as POSCAR:
```
SbRuPb2
1.0
1.694 0.978 10.105
-1.694 0.978 10.105
0.000 -1.956 10.105
Sb Ru Pb
1 1 2
direct
0.000 0.000 0.000
0.274 0.274 0.274
0.536 0.536 0.536
0.768 0.768 0.768
```

Values from the calculation:
The total energy is -5.073 eV/atom. The formation energy (no corrections) is 0.131 eV/atom.


## HoAlGa6 (PBE-GGA)

Data for a relaxed HoAlGa6 crystal.

Cell and atoms, written as POSCAR:
```
HoAlGa6
1.0
3.358 -4.654 0.000
3.358 4.654 0.000
-3.210 0.000 5.236
Ho Al Ga
1 1 6
direct
0.000 0.000 0.000
0.500 0.500 0.500
0.199 0.669 0.234
0.225 0.225 0.678
0.331 0.801 0.766
0.669 0.199 0.234
0.775 0.775 0.322
0.801 0.331 0.766
```

Values from the calculation:
The calculated formation energy is -0.9 eV/f.u. The total energy is -3.421 eV/atom.


## SrCa2Ag6 (PBE-GGA)

Data for a relaxed SrCa2Ag6 crystal.

Cell and atoms, written as POSCAR:
```
SrCa2Ag6
1.0
8.349 0.000 0.000
-4.175 7.231 0.000
0.000 0.000 3.705
Sr Ca Ag
1 2 6
direct
0.000 0.000 0.000
0.333 0.667 0.000
0.667 0.333 0.000
0.000 0.335 0.500
0.000 0.665 0.500
0.335 0.000 0.500
0.335 0.335 0.500
0.665 0.000 0.500
0.665 0.665 0.500
```

Values from the calculation:
The calculated formation energy is -2.3 eV/f.u. The total energy is -2.792 eV/atom.


## LiHg12Pb6 (PBE-GGA)

Data for a relaxed LiHg12Pb6 crystal.

Cell and atoms, written as POSCAR:
```
LiHg12Pb6
1.0
7.066 4.079 3.180
-7.066 4.079 3.180
0.000 -8.159 3.180
Li Hg Pb
1 12 6
direct
0.000 0.000 0.000
0.031 0.724 0.123
0.035 0.498 0.679
0.123 0.031 0.724
0.276 0.877 0.969
0.321 0.965 0.502
0.498 0.679 0.035
0.502 0.321 0.965
0.679 0.035 0.498
0.724 0.123 0.031
0.877 0.969 0.276
0.965 0.502 0.321
0.969 0.276 0.877
0.242 0.311 0.511
0.311 0.511 0.242
0.489 0.758 0.689
0.511 0.242 0.311
0.689 0.489 0.758
0.758 0.689 0.489
```

Values from the calculation:
The calculated formation energy is 0.3 eV/f.u. The total energy is -1.446 eV/atom.


## Pm12Be3H5 (PBE-GGA)

Data for a relaxed Pm12Be3H5 crystal.

Cell and atoms, written as POSCAR:
```
Pm12Be3H5
1.0
-7.733 7.733 7.733
7.733 -7.733 7.733
7.733 7.733 -7.733
Pm Be H
48 12 20
direct
0.026 0.214 0.117
0.026 0.311 0.909
0.091 0.617 0.403
0.091 0.974 0.689
0.097 0.714 0.689
0.097 0.883 0.409
0.117 0.026 0.214
0.117 0.591 0.903
0.189 0.214 0.597
0.189 0.474 0.591
0.214 0.117 0.026
0.214 0.597 0.189
0.286 0.311 0.903
0.286 0.474 0.383
0.311 0.903 0.286
0.311 0.909 0.026
0.383 0.286 0.474
0.383 0.597 0.909
0.403 0.091 0.617
0.403 0.811 0.786
0.409 0.097 0.883
0.409 0.811 0.526
0.474 0.383 0.286
0.474 0.591 0.189
0.526 0.409 0.811
0.526 0.617 0.714
0.591 0.189 0.474
0.591 0.903 0.117
0.597 0.189 0.214
0.597 0.909 0.383
0.617 0.403 0.091
0.617 0.714 0.526
0.689 0.091 0.974
0.689 0.097 0.714
0.714 0.526 0.617
0.714 0.689 0.097
0.786 0.403 0.811
0.786 0.883 0.974
0.811 0.526 0.409
0.811 0.786 0.403
0.883 0.409 0.097
0.883 0.974 0.786
0.903 0.117 0.591
0.903 0.286 0.311
0.909 0.026 0.311
0.909 0.383 0.597
0.974 0.689 0.091
0.974 0.786 0.883
0.125 0.250 0.375
0.125 0.375 0.750
0.250 0.375 0.125
0.250 0.875 0.625
0.375 0.125 0.250
0.375 0.750 0.125
0.625 0.250 0.875
0.625 0.875 0.750
0.750 0.125 0.375
0.750 0.625 0.875
0.875 0.625 0.250
0.875 0.750 0.625
0.000 0.000 0.000
0.000 0.000 0.500
0.000 0.500 0.000
0.000 0.500 0.500
0.125 0.750 0.875
0.125 0.875 0.250
0.250 0.125 0.875
0.250 0.625 0.375
0.375 0.250 0.625
0.375 0.625 0.750
0.500 0.000 0.000
0.500 0.000 0.500
0.500 0.500 0.000
0.500 0.500 0.500
0.625 0.375 0.250
0.625 0.750 0.375
0.750 0.375 0.625
0.750 0.875 0.125
0.875 0.125 0.750
0.875 0.250 0.125
```

Values from the calculation:
The total energy is -4.304 eV/atom.


## HoMg2In (PBE-GGA)

Data for a relaxed HoMg2In crystal.

Cell and atoms, written as POSCAR:
```
HoMg2In
1.0
3.355 0.000 0.000
0.000 5.131 0.000
-0.669 0.000 5.870
Ho Mg In
1 2 1
direct
0.000 0.000 0.000
0.384 0.500 0.748
0.616 0.500 0.252
0.500 0.000 0.500
```

Values from the calculation:
The calculated formation energy is -0.6 eV/f.u. The total energy is -2.771 eV/atom.


## Ga13Os2 (PBE-GGA)

Data for a relaxed Ga13Os2 crystal.

Cell and atoms, written as POSCAR:
```
Ga13Os2
1.0
5.122 0.000 0.000
0.047 7.271 0.000
1.064 2.042 7.003
Ga Os
13 2
direct
0.000 0.000 0.000
0.049 0.612 0.259
0.122 0.244 0.384
0.265 0.546 0.910
0.300 0.965 0.669
0.412 0.653 0.523
0.466 0.200 0.974
0.534 0.800 0.026
0.588 0.347 0.477
0.700 0.035 0.331
0.735 0.454 0.090
0.878 0.756 0.616
0.951 0.388 0.741
0.226 0.930 0.284
0.774 0.070 0.716
```

Values from the calculation:
The calculated formation energy is -0.8 eV/f.u. The total energy is -4.173 eV/atom.


## CaFe2AuSe (PBE-GGA)

Data for a relaxed CaFe2AuSe crystal.

Cell and atoms, written as POSCAR:
```
CaFe2AuSe
1.0
4.807 0.000 0.000
0.000 4.807 0.000
0.000 0.000 5.111
Ca Fe Au Se
1 2 1 1
direct
0.000 0.000 0.000
0.000 0.500 0.000
0.500 0.000 0.000
0.500 0.500 0.500
0.000 0.000 0.500
```

Values from the calculation:
The total energy is -3.669 eV/atom. The formation energy (no corrections) is 1.469 eV/atom.


## Al2ReMo (PBE-GGA)

Data for a relaxed Al2ReMo crystal.

Cell and atoms, written as POSCAR:
```
Al2ReMo
1.0
2.728 0.000 0.000
0.000 4.258 0.000
-0.954 0.000 5.161
Al Re Mo
2 1 1
direct
0.227 0.000 0.252
0.773 0.000 0.748
0.000 0.500 0.500
0.500 0.500 0.000
```

Values from the calculation:
The calculated formation energy is -0.4 eV/f.u. The total energy is -7.789 eV/atom.


## Pa3SbSe3 (PBE-GGA)

Data for a relaxed Pa3SbSe3 crystal.

Cell and atoms, written as POSCAR:
```
Pa3SbSe3
1.0
3.912 2.258 7.440
-3.912 2.258 7.440
0.000 -4.517 7.440
Pa Sb Se
6 2 6
direct
0.077 0.770 0.368
0.230 0.632 0.923
0.368 0.077 0.770
0.632 0.923 0.230
0.770 0.368 0.077
0.923 0.230 0.632
0.333 0.333 0.333
0.667 0.667 0.667
0.112 0.489 0.767
0.233 0.888 0.511
0.489 0.767 0.112
0.511 0.233 0.888
0.767 0.112 0.489
0.888 0.511 0.233
```

Values from the calculation:
The total energy is -6.891 eV/atom. The formation energy (no corrections) is -0.739 eV/atom.